(1)
A relaxed CsNa2GaHg crystal. Source: the Alexandria database, functional PBE.

- Formation energy from the elements: -0.032 eV/atom
- Crystal system: tetragonal

a = 5.9979 Å, b = 5.9979 Å, c = 5.3652 Å
α = 90.00°, β = 90.00°, γ = 90.00°
Space group P4/mmm (No. 123)
Inequivalent atoms, fractional coordinates:
Cs1 0.0000 0.0000 0.0000 x1
Na1 0.0000 0.5000 0.5000 x2
Ga1 0.5000 0.5000 0.0000 x1
Hg1 0.5000 0.5000 0.5000 x1

---

(2)
A relaxed TbHo2Hg4 crystal. Source: the Alexandria database, functional PBE.

- Formation energy from the elements: 0.055 eV/atom
- Crystal system: tetragonal

a = 5.6220 Å, b = 5.6220 Å, c = 15.3041 Å
α = 90.00°, β = 90.00°, γ = 90.00°
Space group I4/mmm (No. 139)
Inequivalent atoms, fractional coordinates:
Tb1 0.0000 0.0000 0.0000 x2
Ho1 0.0000 0.0000 0.3986 x4
Hg1 0.0000 0.0000 0.2001 x4
Hg2 0.0000 0.5000 0.0000 x4

---

(3)
A relaxed CaTl4Sn crystal. Source: the Alexandria database, functional PBE.

- Formation energy from the elements: -0.144 eV/atom
- Crystal system: triclinic

a = 6.5664 Å, b = 6.5682 Å, c = 9.4984 Å
α = 91.57°, β = 91.73°, γ = 118.46°
Space group P-1 (No. 2)
Inequivalent atoms, fractional coordinates:
Ca1 0.1218 0.3751 0.2511 x2
Tl1 0.0267 0.8127 0.3973 x2
Tl2 0.2156 0.9479 0.0634 x2
Tl3 0.3083 0.5224 0.8993 x2
Tl4 0.4434 0.7112 0.5659 x2
Sn1 0.3948 0.1088 0.7487 x2

---

For reference, calculated volume by record: 193.0; 483.7; 359.6 Å³/cell.
For reference, ΔE to the lowest computed polymorph by record: 30.9; 387.6; 0.0 meV per atom.
For reference, E_tot by record: -1.40; -2.09; -2.72 eV/atom.